The following is a PBE calculation of TmSn2Pd6 after structural relaxation, from Alexandria.

Cell lengths 3.4468, 7.6255, 7.6255 Å; angles 124.33, 90.00, 90.00 degrees
Atoms (fractional coordinates):
Tm1 0.0000 0.0000 0.0000
Sn1 0.5000 0.1645 0.4712
Sn2 0.5000 0.4712 0.1645
Pd1 0.0000 0.3959 0.3959
Pd2 0.0000 0.4431 0.8040
Pd3 0.0000 0.8040 0.4431
Pd4 0.5000 0.1064 0.7818
Pd5 0.5000 0.6973 0.6973
Pd6 0.5000 0.7818 0.1064

- energy of formation from the pure elements (eV per atom) = -0.518
- V (Å³ per cell) = 166
- energy (eV per atom) = -5.37
- total moment (μB per formula unit) = 0.0
- density (g cm⁻³) = 10.483